No. 1
Entry from the Alexandria database: a relaxed structure of AcGdCuSn (PBE).

Cell and atoms, written as CIF:
```
data_AcGdCuSn
_chemical_formula_sum 'Ac4 Gd4 Cu4 Sn4'
_symmetry_space_group_name_H-M 'F -4 3 m'
_symmetry_Int_Tables_number 216
_symmetry_space_group_name_Hall 'F -4 2 3'
_cell_length_a 7.689
_cell_length_b 7.689
_cell_length_c 7.689
_cell_angle_alpha 90.00
_cell_angle_beta 90.00
_cell_angle_gamma 90.00
loop_
_atom_site_label
_atom_site_fract_x
_atom_site_fract_y
_atom_site_fract_z
Ac1 0.000 0.000 0.000
Gd1 0.000 0.000 0.500
Cu1 0.250 0.250 0.750
Sn1 0.250 0.250 0.250
```

Calculated values
M_tot   1.957 μB/atom
Calculated formation energy   -0.362 eV per atom
D(E_F)   1.1845 states/eV per atom
Final energy   -6.934 eV per atom



No. 2
Entry from the Alexandria database: a relaxed structure of ZrScB (PBE).

Cell and atoms, written as CIF:
```
data_ZrScB
_chemical_formula_sum 'Zr2 Sc2 B2'
_symmetry_space_group_name_H-M 'P 1 21/m 1'
_symmetry_Int_Tables_number 11
_cell_length_a 5.993
_cell_length_b 3.143
_cell_length_c 6.030
_cell_angle_alpha 90.00
_cell_angle_beta 107.66
_cell_angle_gamma 90.00
loop_
_symmetry_equiv_pos_as_xyz
'x,y,z'
'-x,-y,-z'
'-x,y+1/2,-z'
'x,-y+1/2,z'
loop_
_atom_site_label
_atom_site_fract_x
_atom_site_fract_y
_atom_site_fract_z
Zr1 0.156 0.250 0.229
Sc1 0.331 0.250 0.774
B1 0.445 0.750 0.505
```

Calculated values
M_tot   0.000 μB/atom
Calculated formation energy   -0.276 eV per atom
ΔE to the lowest computed polymorph   0.106 eV/atom
D(E_F)   0.6058 states/eV per atom
Final energy   -7.462 eV per atom



No. 3
Entry from the Alexandria database: a relaxed structure of SmTl2Pd8 (PBE).

Cell and atoms, written as CIF:
```
data_SmTl2Pd8
_chemical_formula_sum 'Sm2 Tl4 Pd16'
_symmetry_space_group_name_H-M 'C 1 2/m 1'
_symmetry_Int_Tables_number 12
_cell_length_a 7.567
_cell_length_b 14.290
_cell_length_c 4.986
_cell_angle_alpha 90.00
_cell_angle_beta 130.92
_cell_angle_gamma 90.00
loop_
_symmetry_equiv_pos_as_xyz
'x,y,z'
'-x,-y,-z'
'-x,y,-z'
'x,-y,z'
'x+1/2,y+1/2,z'
'-x+1/2,-y+1/2,-z'
'-x+1/2,y+1/2,-z'
'x+1/2,-y+1/2,z'
loop_
_atom_site_label
_atom_site_fract_x
_atom_site_fract_y
_atom_site_fract_z
Sm1 0.000 0.000 0.000
Tl1 0.000 0.315 0.500
Pd1 0.000 0.198 0.000
Pd2 0.024 0.500 0.772
Pd3 0.236 0.134 0.722
```

Calculated values
M_tot   0.000 μB/atom
Calculated formation energy   -0.296 eV per atom
D(E_F)   0.5030 states/eV per atom
Final energy   -4.932 eV per atom



No. 4
Entry from the Alexandria database: a relaxed structure of Ba2NaCo2 (PBE).

Cell and atoms, written as CIF:
```
data_Ba2NaCo2
_chemical_formula_sum 'Ba4 Na2 Co4'
_symmetry_space_group_name_H-M 'P 4/m b m'
_symmetry_Int_Tables_number 127
_symmetry_space_group_name_Hall '-P 4 2ab'
_cell_length_a 8.509
_cell_length_b 8.509
_cell_length_c 4.510
_cell_angle_alpha 90.00
_cell_angle_beta 90.00
_cell_angle_gamma 90.00
loop_
_atom_site_label
_atom_site_fract_x
_atom_site_fract_y
_atom_site_fract_z
Ba1 0.175 0.325 0.000
Na1 0.000 0.000 0.500
Co1 0.089 0.589 0.500
```

Calculated values
M_tot   0.599 μB/atom
Calculated formation energy   0.412 eV per atom
D(E_F)   0.4802 states/eV per atom
Final energy   -3.463 eV per atom



No. 5
Entry from the Alexandria database: a relaxed structure of AlCuOs2 (PBE).

Cell and atoms, written as CIF:
```
data_AlCuOs2
_chemical_formula_sum 'Al2 Cu2 Os4'
_symmetry_space_group_name_H-M 'I 4/m m m'
_symmetry_Int_Tables_number 139
_symmetry_space_group_name_Hall '-I 4 2'
_cell_length_a 3.789
_cell_length_b 3.789
_cell_length_c 7.736
_cell_angle_alpha 90.00
_cell_angle_beta 90.00
_cell_angle_gamma 90.00
loop_
_atom_site_label
_atom_site_fract_x
_atom_site_fract_y
_atom_site_fract_z
Al1 0.000 0.000 0.000
Cu1 0.000 0.000 0.500
Os1 0.000 0.500 0.250
```

Calculated values
M_tot   0.000 μB/atom
Calculated formation energy   0.225 eV per atom
D(E_F)   1.3162 states/eV per atom
Final energy   -7.349 eV per atom



No. 6
Entry from the Alexandria database: a relaxed structure of Nd2Dy6Y3Th (PBE).

Cell and atoms, written as CIF:
```
data_Nd2Dy6Y3Th
_chemical_formula_sum 'Nd4 Dy12 Y6 Th2'
_symmetry_space_group_name_H-M 'C 1 2/m 1'
_symmetry_Int_Tables_number 12
_cell_length_a 6.208
_cell_length_b 10.741
_cell_length_c 11.837
_cell_angle_alpha 90.00
_cell_angle_beta 100.05
_cell_angle_gamma 90.00
loop_
_symmetry_equiv_pos_as_xyz
'x,y,z'
'-x,-y,-z'
'-x,y,-z'
'x,-y,z'
'x+1/2,y+1/2,z'
'-x+1/2,-y+1/2,-z'
'-x+1/2,y+1/2,-z'
'x+1/2,-y+1/2,z'
loop_
_atom_site_label
_atom_site_fract_x
_atom_site_fract_y
_atom_site_fract_z
Nd1 0.000 0.167 0.000
Dy1 0.245 0.500 0.750
Dy2 0.249 0.335 0.250
Y1 0.000 0.000 0.500
Y2 0.000 0.333 0.500
Th1 0.000 0.500 0.000
```

Calculated values
M_tot   0.000 μB/atom
Calculated formation energy   0.031 eV per atom
D(E_F)   1.3672 states/eV per atom
Final energy   -5.299 eV per atom



No. 7
Entry from the Alexandria database: a relaxed structure of Sr2TeF2 (PBE).

Cell and atoms, written as CIF:
```
data_Sr2TeF2
_chemical_formula_sum 'Sr4 Te2 F4'
_symmetry_space_group_name_H-M 'P 4/m b m'
_symmetry_Int_Tables_number 127
_symmetry_space_group_name_Hall '-P 4 2ab'
_cell_length_a 8.194
_cell_length_b 8.194
_cell_length_c 3.738
_cell_angle_alpha 90.00
_cell_angle_beta 90.00
_cell_angle_gamma 90.00
loop_
_atom_site_label
_atom_site_fract_x
_atom_site_fract_y
_atom_site_fract_z
Sr1 0.144 0.356 0.000
Te1 0.000 0.000 0.000
F1 0.106 0.606 0.500
```

Calculated values
ΔE_f (raw)   -2.39 eV/atom
M_tot   0.000 μB/atom
ΔE to the lowest computed polymorph   0.652 eV/atom
D(E_F)   0.0034 states/eV per atom
Final energy   -4.441 eV per atom



No. 8
Entry from the Alexandria database: a relaxed structure of BaTa2VZn (PBE).

Cell and atoms, written as CIF:
```
data_BaTa2VZn
_chemical_formula_sum 'Ba1 Ta2 V1 Zn1'
_symmetry_space_group_name_H-M 'P 4/m m m'
_symmetry_Int_Tables_number 123
_symmetry_space_group_name_Hall '-P 4 2'
_cell_length_a 4.758
_cell_length_b 4.758
_cell_length_c 5.364
_cell_angle_alpha 90.00
_cell_angle_beta 90.00
_cell_angle_gamma 90.00
loop_
_atom_site_label
_atom_site_fract_x
_atom_site_fract_y
_atom_site_fract_z
Ba1 0.000 0.000 0.000
Ta1 0.000 0.500 0.500
V1 0.500 0.500 0.500
Zn1 0.500 0.500 0.000
```

Calculated values
M_tot   0.000 μB/atom
Calculated formation energy   0.906 eV per atom
D(E_F)   1.0731 states/eV per atom
Final energy   -6.298 eV per atom



No. 9
Entry from the Alexandria database: a relaxed structure of Pr3Dy3Sc (PBE).

Cell and atoms, written as CIF:
```
data_Pr3Dy3Sc
_chemical_formula_sum 'Pr6 Dy6 Sc2'
_symmetry_space_group_name_H-M 'P 63/m'
_symmetry_Int_Tables_number 176
_symmetry_space_group_name_Hall '-P 6c'
_cell_length_a 9.6175
_cell_length_b 9.6175
_cell_length_c 5.7229
_cell_angle_alpha 90.00
_cell_angle_beta 90.00
_cell_angle_gamma 120.00
loop_
_atom_site_label
_atom_site_fract_x
_atom_site_fract_y
_atom_site_fract_z
Pr1 0.0970 0.6199 0.2500
Dy1 0.0498 0.8122 0.7500
Sc1 0.3333 0.6667 0.7500
```

Calculated values
M_tot   0.000 μB/atom
Calculated formation energy   0.040 eV per atom
ΔE to the lowest computed polymorph   0.000 eV/atom
D(E_F)   1.9688 states/eV per atom
Final energy   -4.885 eV per atom



No. 10
Entry from the Alexandria database: a relaxed structure of BaBeH2Ru (PBE).

Cell and atoms, written as CIF:
```
data_BaBeH2Ru
_chemical_formula_sum 'Ba1 Be1 H2 Ru1'
_symmetry_space_group_name_H-M 'P 4/m m m'
_symmetry_Int_Tables_number 123
_symmetry_space_group_name_Hall '-P 4 2'
_cell_length_a 3.735
_cell_length_b 3.735
_cell_length_c 7.287
_cell_angle_alpha 90.00
_cell_angle_beta 90.00
_cell_angle_gamma 90.00
loop_
_atom_site_label
_atom_site_fract_x
_atom_site_fract_y
_atom_site_fract_z
Ba1 0.000 0.000 0.000
Be1 0.000 0.000 0.500
H1 0.000 0.500 0.500
Ru1 0.500 0.500 0.000
```

Calculated values
M_tot   0.000 μB/atom
D(E_F)   0.3878 states/eV per atom
Final energy   -3.022 eV per atom



No. 11
Entry from the Alexandria database: a relaxed structure of Ba2SbAu10 (PBE).

Cell and atoms, written as CIF:
```
data_Ba2SbAu10
_chemical_formula_sum 'Ba4 Sb2 Au20'
_symmetry_space_group_name_H-M 'P 1 21/c 1'
_symmetry_Int_Tables_number 14
_cell_length_a 6.096
_cell_length_b 6.744
_cell_length_c 15.326
_cell_angle_alpha 90.00
_cell_angle_beta 93.89
_cell_angle_gamma 90.00
loop_
_symmetry_equiv_pos_as_xyz
'x,y,z'
'-x,-y,-z'
'-x,y+1/2,-z+1/2'
'x,-y+1/2,z+1/2'
loop_
_atom_site_label
_atom_site_fract_x
_atom_site_fract_y
_atom_site_fract_z
Ba1 0.111 0.246 0.152
Sb1 0.500 0.000 0.000
Au1 0.132 0.250 0.425
Au2 0.259 0.746 0.676
Au3 0.292 0.614 0.006
Au4 0.378 0.526 0.322
Au5 0.387 0.535 0.833
```

Calculated values
ΔE_f (raw)   -0.35 eV/atom
M_tot   0.000 μB/atom
D(E_F)   0.3227 states/eV per atom
Final energy   -3.479 eV per atom



No. 12
Entry from the Alexandria database: a relaxed structure of MgZn7O8 (PBE).

Cell and atoms, written as CIF:
```
data_MgZn7O8
_chemical_formula_sum 'Mg1 Zn7 O8'
_symmetry_space_group_name_H-M 'P 3 m 1'
_symmetry_Int_Tables_number 156
_cell_length_a 6.5782
_cell_length_b 6.5782
_cell_length_c 5.2916
_cell_angle_alpha 90.00
_cell_angle_beta 90.00
_cell_angle_gamma 120.00
loop_
_symmetry_equiv_pos_as_xyz
'x,y,z'
'-y,x-y,z'
'-x+y,-x,z'
'-y,-x,z'
'-x+y,y,z'
'x,x-y,z'
loop_
_atom_site_label
_atom_site_fract_x
_atom_site_fract_y
_atom_site_fract_z
Mg1 0.0000 0.0000 0.0000
Zn1 0.0017 0.5008 0.9971
Zn2 0.1667 0.3333 0.5001
Zn3 0.6667 0.3333 0.4981
O1 0.0000 0.0000 0.3773
O2 0.0003 0.5001 0.3782
O3 0.1653 0.3306 0.8799
O4 0.6667 0.3333 0.8786
```

Calculated values
ΔE_f (raw)   -1.59 eV/atom
M_tot   0.000 μB/atom
Final energy   -4.723 eV per atom